(1)
Density functional theory data (GGA-PBEsol) for a relaxed ZrTe2Au crystal.

Cell lengths 3.9320, 4.0754, 6.1845 Å; angles 90.00, 108.54, 90.00 degrees
Closest atoms and distances in Å follow each position.
Positions (direct):
Te 0.2469 0.5000 0.4938  4 Au 2.84, 2 Zr 2.98
Au 0.7284 0.0000 0.4568  5 Te 2.82-2.84, 2 Zr 2.87
Zr 0.5558 0.5000 0.1116  2 Au 2.87, 6 Te 2.98-3.01
Te 0.9690 0.0000 0.9379  1 Au 2.82, 4 Zr 3.01

Computed properties:
- total energy (eV per atom) = -5.665
- formation energy without anion corrections (eV per atom) = -0.648
- space-group type = Amm2 (38)

---

(2)
Density functional theory data (GGA-PBEsol) for a relaxed ZrTe2Au crystal.

Cell lengths 3.1420, 5.0864, 5.7106 Å; angles 90.00, 96.54, 90.00 degrees
Closest atoms and distances in Å follow each position.
Positions (direct):
Au 0.0000 0.5000 0.5000  4 Te 3.08, 4 Zr 3.10-3.41, 2 Au 3.14
Te 0.2690 0.0000 0.2489  2 Zr 3.04, 5 Te 3.06-3.34, 2 Au 3.08
Zr 0.5000 0.5000 0.0000  4 Te 3.04, 2 Au 3.10, 2 Zr 3.14
Te 0.7310 0.0000 0.7511  2 Zr 3.04, 5 Te 3.06-3.34, 2 Au 3.08

Computed properties:
- total energy (eV per atom) = -5.033
- formation energy without anion corrections (eV per atom) = -0.016
- space-group type = P2/m (10)

---

Number 1: size of the total moment 0.00 μB per formula unit. Number 2: size of the total moment 0.00 μB per formula unit.